## TmSb3Pd6 (PBE-GGA)

Data for crystalline TmSb3Pd6 at its relaxed geometry.

Summary:
For the uncorrected formation energy, the calculation gives -5.8 eV per formula unit. The calculation puts the electronic total energy at -5.376 eV per atom.

Geometry as POSCAR:
```
TmSb3Pd6
1.0
3.9931 0.0000 0.0000
0.0000 9.0098 0.2961
0.0000 -2.5518 10.7813
Tm Sb Pd
2 6 12
direct
0.7500 0.0279 0.7348
0.2500 0.9721 0.2652
0.7500 0.3920 0.8138
0.2500 0.6080 0.1862
0.7500 0.7161 0.5639
0.2500 0.2839 0.4361
0.7500 0.1312 0.0893
0.2500 0.8688 0.9107
0.7500 0.4277 0.5762
0.2500 0.5723 0.4238
0.7500 0.8083 0.0801
0.2500 0.1917 0.9199
0.7500 0.4275 0.0594
0.2500 0.5725 0.9406
0.7500 0.7754 0.3313
0.2500 0.2246 0.6687
0.7500 0.0963 0.4774
0.2500 0.9037 0.5226
0.7500 0.6948 0.7989
0.2500 0.3052 0.2011
```